Below is crystalline K4Pr3MnTe8 at its relaxed geometry, with properties calculated at the PBE level.

Output
The value obtained for the magnetic moment is 4.04 μB/f.u. The calculation puts the formation energy from raw total energies at -1.14 eV/atom.

Lattice parameters (Å, degrees): 9.790 9.790 9.790 55.40 55.40 55.40
Element x y z (fractional)
1 K 0.000 0.000 0.000
2 K 0.000 0.500 0.500
3 K 0.500 0.000 0.500
4 K 0.500 0.500 0.000
5 Pr 0.000 0.000 0.500
6 Pr 0.000 0.500 0.000
7 Pr 0.500 0.000 0.000
8 Mn 0.500 0.500 0.500
9 Te 0.240 0.240 0.240
10 Te 0.260 0.722 0.722
11 Te 0.278 0.278 0.740
12 Te 0.278 0.740 0.278
13 Te 0.722 0.260 0.722
14 Te 0.722 0.722 0.260
15 Te 0.740 0.278 0.278
16 Te 0.760 0.760 0.760